[1]
The following is a meta-GGA SCAN calculation of a PBEsol-optimized structure of Ba2CeCrO6, from Alexandria via LeMat-Bulk.

Output
ΔE_f (raw) = -3.05 eV per atom
Space group = Fm-3m, No. 225
Total DFT energy (no corrections) = -20.992 eV/atom

Unit cell a=5.851 b=5.851 c=5.851 alpha=60.00 beta=60.00 gamma=60.00
Positions (direct):
O: 0.232 0.768 0.232
O: 0.768 0.768 0.232
O: 0.232 0.768 0.768
O: 0.232 0.232 0.768
O: 0.768 0.232 0.232
O: 0.768 0.232 0.768
Ba: 0.250 0.250 0.250
Ba: 0.750 0.750 0.750
Ce: 0.500 0.500 0.500
Cr: 0.000 0.000 0.000

---

[2]
The following is a meta-GGA SCAN calculation of a PBEsol-optimized structure of SnGe2MoS, from Alexandria via LeMat-Bulk.

Output
ΔE_f (raw) = 0.40 eV per atom
Space group = P4/mmm, No. 123
Total DFT energy (no corrections) = -23.324 eV/atom

Unit cell a=4.427 b=5.016 c=5.016 alpha=90.00 beta=90.00 gamma=90.00
Positions (direct):
Sn: 0.500 0.500 0.500
S: 0.500 0.000 0.000
Ge: 0.000 0.000 0.500
Ge: 0.000 0.500 0.000
Mo: 0.000 0.000 0.000

---

[3]
The following is a meta-GGA SCAN calculation of a PBEsol-optimized structure of ScTl2Ru, from Alexandria via LeMat-Bulk.

Output
Space group = Pmmm, No. 47
Total DFT energy (no corrections) = -48.361 eV/atom
Energy of formation = 0.34 eV/f.u.

Unit cell a=4.161 b=4.392 c=4.232 alpha=90.00 beta=90.00 gamma=90.00
Positions (direct):
Tl: 0.500 0.000 0.500
Tl: 0.000 0.000 0.000
Ru: 0.500 0.500 0.000
Sc: 0.000 0.500 0.500

---

[4]
The following is a meta-GGA SCAN calculation of a PBEsol-optimized structure of W2Au, from Alexandria via LeMat-Bulk.

Output
Space group = P-3m1, No. 164
Total DFT energy (no corrections) = -69.021 eV/atom
Energy of formation = 1.47 eV/f.u.

Unit cell a=3.103 b=3.103 c=6.205 alpha=90.00 beta=90.00 gamma=120.00
Positions (direct):
Au: 0.000 0.000 0.000
W: 0.333 0.667 0.358
W: 0.667 0.333 0.642

---

[5]
The following is a meta-GGA SCAN calculation of a PBEsol-optimized structure of YNOF2, from Alexandria via LeMat-Bulk.

Output
ΔE_f (raw) = -1.69 eV per atom
Space group = P4/mmm, No. 123
Total DFT energy (no corrections) = -11.778 eV/atom
Relative energy among the computed polymorphs = 0.00 eV per formula unit

Unit cell a=4.335 b=4.335 c=4.533 alpha=90.00 beta=90.00 gamma=90.00
Positions (direct):
F: 0.000 0.500 0.000
F: 0.500 0.000 0.000
O: 0.000 0.000 0.500
N: 0.500 0.500 0.500
Y: 0.000 0.000 0.000

---

[6]
The following is a meta-GGA SCAN calculation of a PBEsol-optimized structure of BaPt3Cl, from Alexandria via LeMat-Bulk.

Output
ΔE_f (raw) = 1.86 eV per atom
Space group = Pm-3m, No. 221
Total DFT energy (no corrections) = -49.758 eV/atom

Unit cell a=5.271 b=5.271 c=5.271 alpha=90.00 beta=90.00 gamma=90.00
Positions (direct):
Pt: 0.500 0.000 0.000
Pt: 0.000 0.000 0.500
Pt: 0.000 0.500 0.000
Ba: 0.000 0.000 0.000
Cl: 0.500 0.500 0.500

---

[7]
The following is a meta-GGA SCAN calculation of a PBEsol-optimized structure of BaZn3I, from Alexandria via LeMat-Bulk.

Output
ΔE_f (raw) = 0.55 eV per atom
Space group = Pm-3m, No. 221
Total DFT energy (no corrections) = -22.813 eV/atom

Unit cell a=6.295 b=6.295 c=6.295 alpha=90.00 beta=90.00 gamma=90.00
Positions (direct):
Zn: 0.000 0.500 0.000
Zn: 0.000 0.000 0.500
Zn: 0.500 0.000 0.000
Ba: 0.000 0.000 0.000
I: 0.500 0.500 0.500

---

[8]
The following is a meta-GGA SCAN calculation of a PBEsol-optimized structure of SrNiGe2, from Alexandria via LeMat-Bulk.

Output
Space group = Cmcm, No. 63
Total DFT energy (no corrections) = -19.730 eV/atom
Energy of formation = -2.30 eV/f.u.

Unit cell a=4.163 b=4.345 c=8.778 alpha=75.67 beta=90.00 gamma=90.00
Positions (direct):
Ge: 0.250 0.544 0.913
Ge: 0.250 0.250 0.499
Ge: 0.750 0.456 0.087
Ge: 0.750 0.750 0.501
Sr: 0.250 0.892 0.216
Sr: 0.750 0.108 0.784
Ni: 0.750 0.318 0.363
Ni: 0.250 0.682 0.637

---

[9]
The following is a meta-GGA SCAN calculation of a PBEsol-optimized structure of MgZn2Cd, from Alexandria via LeMat-Bulk.

Output
Space group = P4mm, No. 99
Total DFT energy (no corrections) = -15.620 eV/atom
Energy of formation = -0.06 eV/f.u.
Relative energy among the computed polymorphs = 0.18 eV per formula unit

Unit cell a=2.948 b=2.948 c=8.028 alpha=90.00 beta=90.00 gamma=90.00
Positions (direct):
Mg: 0.500 0.500 0.772
Cd: 0.000 0.000 0.483
Zn: 0.000 0.000 0.019
Zn: 0.500 0.500 0.226

---

[10]
The following is a meta-GGA SCAN calculation of a PBEsol-optimized structure of Li4HN, from Alexandria via LeMat-Bulk.

Output
Space group = I4_1/a, No. 88
Total DFT energy (no corrections) = -4.205 eV/atom

Unit cell a=4.804 b=4.804 c=5.966 alpha=113.74 beta=113.74 gamma=90.00
Positions (direct):
Li: 0.216 0.116 0.815
Li: 0.884 0.401 0.185
Li: 0.034 0.634 0.685
Li: 0.599 0.699 0.815
Li: 0.651 0.051 0.685
Li: 0.366 0.349 0.315
Li: 0.949 0.966 0.315
Li: 0.301 0.784 0.185
H: 0.750 0.250 0.500
H: 0.500 0.500 0.000
N: 0.250 0.750 0.500
N: 0.000 0.000 0.000

---

[11]
The following is a meta-GGA SCAN calculation of a PBEsol-optimized structure of TlGaCuPb2, from Alexandria via LeMat-Bulk.

Output
Space group = P4/mmm, No. 123
Total DFT energy (no corrections) = -50.742 eV/atom
Energy of formation = 1.75 eV/f.u.

Unit cell a=4.516 b=5.495 c=5.495 alpha=90.00 beta=90.00 gamma=90.00
Positions (direct):
Cu: 0.500 0.000 0.000
Pb: 0.000 0.500 0.000
Pb: 0.000 0.000 0.500
Ga: 0.000 0.000 0.000
Tl: 0.500 0.500 0.500

---

[12]
The following is a meta-GGA SCAN calculation of a PBEsol-optimized structure of SiHgCl2, from Alexandria via LeMat-Bulk.

Output
ΔE_f (raw) = 0.21 eV per atom
Space group = I-4m2, No. 119
Total DFT energy (no corrections) = -23.325 eV/atom
Relative energy among the computed polymorphs = 2.27 eV per formula unit

Unit cell a=4.236 b=4.236 c=5.492 alpha=112.68 beta=112.68 gamma=90.00
Positions (direct):
Hg: 0.500 0.500 0.000
Cl: 0.750 0.250 0.500
Cl: 0.000 0.000 0.000
Si: 0.250 0.750 0.500

---

[13]
The following is a meta-GGA SCAN calculation of a PBEsol-optimized structure of TaCuPt, from Alexandria via LeMat-Bulk.

Output
Space group = Imm2, No. 44
Total DFT energy (no corrections) = -51.162 eV/atom
Energy of formation = -1.51 eV/f.u.
Relative energy among the computed polymorphs = 0.00 eV per formula unit

Unit cell a=2.776 b=3.880 c=4.707 alpha=114.34 beta=107.15 gamma=90.00
Positions (direct):
Pt: 0.335 0.335 0.671
Ta: 0.666 0.666 0.331
Cu: 0.999 0.999 0.998

---

[14]
The following is a meta-GGA SCAN calculation of a PBEsol-optimized structure of AlTe3H, from Alexandria via LeMat-Bulk.

Output
Space group = Pm-3m, No. 221
Total DFT energy (no corrections) = -23.858 eV/atom

Unit cell a=5.301 b=5.301 c=5.301 alpha=90.00 beta=90.00 gamma=90.00
Positions (direct):
Te: 0.500 0.000 0.000
Te: 0.000 0.000 0.500
Te: 0.000 0.500 0.000
H: 0.500 0.500 0.500
Al: 0.000 0.000 0.000

---

[15]
The following is a meta-GGA SCAN calculation of a PBEsol-optimized structure of Na2ZnSi3O8, from Alexandria via LeMat-Bulk.

Output
ΔE_f (raw) = -2.67 eV per atom
Space group = P2_1, No. 4
Total DFT energy (no corrections) = -9.940 eV/atom

Unit cell a=6.401 b=6.687 c=8.628 alpha=90.00 beta=90.00 gamma=103.64
Positions (direct):
Zn: 0.035 0.392 0.497
Zn: 0.965 0.608 0.997
O: 0.751 0.209 0.519
O: 0.210 0.428 0.311
O: 0.577 0.887 0.327
O: 0.936 0.646 0.513
O: 0.021 0.945 0.733
O: 0.342 0.008 0.532
O: 0.249 0.791 0.019
O: 0.064 0.354 0.013
O: 0.369 0.187 0.125
O: 0.658 0.992 0.032
O: 0.631 0.813 0.625
O: 0.786 0.668 0.164
O: 0.790 0.572 0.811
O: 0.979 0.055 0.233
O: 0.423 0.113 0.827
O: 0.214 0.332 0.664
Si: 0.409 0.012 0.003
Si: 0.247 0.104 0.685
Si: 0.148 0.267 0.169
Si: 0.591 0.988 0.503
Si: 0.753 0.896 0.185
Si: 0.852 0.733 0.669
Na: 0.832 0.221 0.808
Na: 0.168 0.779 0.308
Na: 0.592 0.470 0.369
Na: 0.408 0.530 0.869

---

[16]
The following is a meta-GGA SCAN calculation of a PBEsol-optimized structure of MnBeIr2, from Alexandria via LeMat-Bulk.

Output
Space group = Amm2, No. 38
Total DFT energy (no corrections) = -41.483 eV/atom
Energy of formation = -1.13 eV/f.u.

Unit cell a=2.632 b=3.811 c=4.872 alpha=90.00 beta=105.67 gamma=90.00
Positions (direct):
Ir: 0.304 0.500 0.608
Ir: 0.973 0.000 0.946
Mn: 0.701 0.000 0.402
Be: 0.563 0.500 0.126

---

[17]
The following is a meta-GGA SCAN calculation of a PBEsol-optimized structure of ScCoRh2, from Alexandria via LeMat-Bulk.

Output
Space group = Cm, No. 8
Total DFT energy (no corrections) = -25.137 eV/atom
Energy of formation = -1.46 eV/f.u.

Unit cell a=2.819 b=4.537 c=5.058 alpha=115.99 beta=106.18 gamma=90.00
Positions (direct):
Sc: 0.503 0.430 0.007
Rh: 0.744 0.322 0.488
Rh: 0.996 0.912 0.992
Co: 0.257 0.836 0.514

---

[18]
The following is a meta-GGA SCAN calculation of a PBEsol-optimized structure of NiTePtN2, from Alexandria via LeMat-Bulk.

Output
ΔE_f (raw) = 1.03 eV per atom
Space group = P4/mmm, No. 123
Total DFT energy (no corrections) = -27.406 eV/atom

Unit cell a=3.690 b=3.690 c=5.507 alpha=90.00 beta=90.00 gamma=90.00
Positions (direct):
Ni: 0.000 0.000 0.000
N: 0.500 0.000 0.000
N: 0.000 0.500 0.000
Pt: 0.500 0.500 0.500
Te: 0.000 0.000 0.500

---

[19]
The following is a meta-GGA SCAN calculation of a PBEsol-optimized structure of Cs2BrCl, from Alexandria via LeMat-Bulk.

Output
ΔE_f (raw) = -2.08 eV per atom
Space group = Fm-3m, No. 225
Total DFT energy (no corrections) = -27.847 eV/atom
Relative energy among the computed polymorphs = 0.00 eV per formula unit

Unit cell a=5.886 b=5.886 c=5.886 alpha=60.00 beta=60.00 gamma=60.00
Positions (direct):
Br: 0.500 0.500 0.500
Cs: 0.250 0.250 0.250
Cs: 0.750 0.750 0.750
Cl: 0.000 0.000 0.000

---

[20]
The following is a meta-GGA SCAN calculation of a PBEsol-optimized structure of AlTePbN2, from Alexandria via LeMat-Bulk.

Output
ΔE_f (raw) = 1.60 eV per atom
Space group = P4/mmm, No. 123
Total DFT energy (no corrections) = -26.268 eV/atom

Unit cell a=4.270 b=4.270 c=6.224 alpha=90.00 beta=90.00 gamma=90.00
Positions (direct):
Al: 0.500 0.500 0.500
Pb: 0.000 0.000 0.000
Te: 0.000 0.000 0.500
N: 0.500 0.000 0.000
N: 0.000 0.500 0.000